DFT (GGA-PBE) results for an optimized crystal structure of ScTl2N.

Cell and atoms, written as extended XYZ:
```
4
Lattice="0.0000 3.4544 3.4544 3.4544 0.0000 3.4544 3.4544 3.4544 0.0000" Properties=species:S:1:pos:R:3 pbc="T T T"
Sc 0.0000 0.0000 0.0000
Tl 1.7272 1.7272 1.7272
Tl 5.1816 5.1816 5.1816
N 3.4544 3.4544 3.4544
```

## Properties
E   -15.67 eV per formula unit
Symmetry   No. 225
Calculated volume   20.6 Å³ per atom
Total moment   0.000 μB/f.u.
Formation energy from raw total energies   0.930 eV per atom